Record 1
KPd3Pb | Alexandria | PBE | optimized geometry; energy of formation = 311 meV/atom; E_tot = -18.8 eV/cell
1.0
-0.836 5.134 0.164
-1.333 -0.056 -5.030
-4.961 -0.850 1.324
Pd Pb K
3 1 1
direct
0.000 0.000 0.500
0.500 0.000 0.000
0.000 0.500 0.000
0.000 0.000 0.000
0.500 0.500 0.500

=====

Record 2
K2Pd3Pb5 | Alexandria | PBE | optimized geometry; energy of formation = -211 meV/atom; E_tot = -76.8 eV/cell
1.0
-2.448 -2.637 3.200
-2.925 -4.282 -5.767
12.163 -7.564 -0.552
Pd Pb K
6 10 4
direct
0.052 0.970 0.104
0.225 0.214 0.449
0.607 0.522 0.214
0.948 0.470 0.896
0.393 0.022 0.786
0.775 0.714 0.551
0.296 0.926 0.592
0.052 0.593 0.104
0.709 0.012 0.419
0.124 0.251 0.249
0.598 0.891 0.195
0.704 0.426 0.408
0.876 0.751 0.751
0.291 0.512 0.581
0.402 0.391 0.805
0.948 0.093 0.896
0.825 0.224 0.649
0.522 0.262 0.045
0.175 0.724 0.351
0.478 0.762 0.955

=====

Record 3
K6PdPb | Alexandria | PBE | optimized geometry; energy of formation = -65 meV/atom; E_tot = -16.0 eV/cell
1.0
4.613 0.000 0.000
0.000 9.765 -0.918
0.000 0.169 9.806
K Pb Pd
6 1 1
direct
0.000 0.520 0.781
0.500 0.351 0.087
0.500 0.939 0.061
0.500 0.913 0.649
0.000 0.219 0.480
0.000 0.666 0.334
0.000 0.146 0.854
0.500 0.246 0.754

=====

Record 4
KPd2Pb3 | Alexandria | PBE | optimized geometry; energy of formation = -204 meV/atom; E_tot = -47.7 eV/cell
1.0
-0.593 2.267 5.411
-8.126 0.180 -0.966
3.920 -6.464 3.137
Pb Pd K
6 4 2
direct
0.750 0.521 0.121
0.250 0.479 0.879
0.250 0.879 0.479
0.750 0.121 0.521
0.250 0.888 0.888
0.750 0.112 0.112
0.000 0.163 0.837
0.000 0.837 0.163
0.500 0.837 0.163
0.500 0.163 0.837
0.250 0.348 0.348
0.750 0.652 0.652

=====

Question: E_tot of number 3 (K6PdPb)?
Answer: -16.0 eV/cell